No. 1
A plane-wave DFT calculation with PBE with a Hubbard U was carried out for crystalline CsV2PbO6 at its relaxed geometry.

Cell: 7.893 7.893 6.025 Å, 97.84 97.84 88.55°
Site moments in Bohr magnetons follow the coordinates.
Fractional coordinates of all 20 atoms:
O (0.461, 0.298, 0.852)  -0.04
O (0.069, 0.626, 0.754)  -0.03
O (0.374, 0.931, 0.746)  -0.03
O (0.702, 0.539, 0.648)  -0.04
O (0.180, 0.166, 0.036)  -0.05
O (0.820, 0.834, 0.964)  -0.05
O (0.298, 0.461, 0.352)  -0.04
O (0.931, 0.374, 0.246)  -0.03
O (0.626, 0.069, 0.254)  -0.03
O (0.539, 0.702, 0.148)  -0.04
O (0.166, 0.180, 0.536)  -0.05
O (0.834, 0.820, 0.464)  -0.05
Cs (0.823, 0.177, 0.750)  0.00
Cs (0.177, 0.823, 0.250)  0.00
Pb (0.611, 0.389, 0.250)  0.00
Pb (0.389, 0.611, 0.750)  0.00
V (0.695, 0.860, 0.204)  0.59
V (0.140, 0.305, 0.296)  0.59
V (0.860, 0.695, 0.704)  0.59
V (0.305, 0.140, 0.796)  0.59

Values from the calculation:
The calculation puts the density at 4.9 Mg/m³. The density of states at the Fermi level comes out at 1.85 states/eV/f.u. The final energy comes out at -133.99 eV per cell.

No. 2
A plane-wave DFT calculation with PBE with a Hubbard U was carried out for crystalline CsVPbO4 at its relaxed geometry.

Cell: 6.560 6.191 7.937 Å, 90.00 107.28 90.00°
Fractional coordinates of all 14 atoms:
O (0.453, 0.750, 0.543)
O (0.095, 0.981, 0.318)
O (0.095, 0.519, 0.318)
O (0.547, 0.250, 0.457)
O (0.609, 0.250, 0.820)
O (0.391, 0.750, 0.180)
O (0.905, 0.019, 0.682)
O (0.905, 0.481, 0.682)
Pb (0.782, 0.750, 0.468)
Pb (0.218, 0.250, 0.532)
Cs (0.714, 0.750, 0.948)
Cs (0.286, 0.250, 0.052)
V (0.260, 0.750, 0.337)
V (0.740, 0.250, 0.663)

Values from the calculation:
The calculation puts the density at 4.9 Mg/m³. The density of states at the Fermi level comes out at 0.00 states/eV/f.u. The final energy comes out at -88.76 eV per cell.